# 1
VASP calculation (PBE-GGA) on crystalline TcRu2Rh at its relaxed geometry.

abc: 9.002 9.002 9.002
angles: 17.36 17.36 17.36
Fractional positions:
Tc 0.000 0.000 0.000
Ru 0.251 0.251 0.251
Ru 0.749 0.749 0.749
Rh 0.500 0.500 0.500

## Properties
excess energy over the best structure of this formula in the dataset: 0.135 eV per atom
calculated formation energy: 0.0594 eV/atom

# 2
VASP calculation (PBE-GGA) on crystalline SnSb2AuI at its relaxed geometry.

abc: 5.416 5.416 5.657
angles: 90.00 90.00 90.00
Fractional positions:
Sn 0.000 0.000 0.000
Sb 0.000 0.500 0.500
Sb 0.500 0.000 0.500
Au 0.500 0.500 0.500
I 0.500 0.500 0.000

## Properties
excess energy over the best structure of this formula in the dataset: 0.000 eV per atom

# 3
VASP calculation (PBE-GGA) on crystalline Tb7Y12Pu at its relaxed geometry.

abc: 8.788 8.788 8.788
angles: 99.74 99.74 99.74
Fractional positions:
Tb 0.000 0.000 0.000
Tb 0.166 0.601 0.601
Tb 0.399 0.399 0.834
Tb 0.399 0.834 0.399
Tb 0.601 0.166 0.601
Tb 0.601 0.601 0.166
Tb 0.834 0.399 0.399
Y 0.000 0.260 0.740
Y 0.000 0.740 0.260
Y 0.150 0.150 0.416
Y 0.150 0.416 0.150
Y 0.260 0.000 0.740
Y 0.260 0.740 0.000
Y 0.416 0.150 0.150
Y 0.584 0.850 0.850
Y 0.740 0.000 0.260
Y 0.740 0.260 0.000
Y 0.850 0.584 0.850
Y 0.850 0.850 0.584
Pu 0.500 0.500 0.500

## Properties
calculated formation energy: 0.1060 eV/atom

# 4
VASP calculation (PBE-GGA) on crystalline Ho3TlCd at its relaxed geometry.

abc: 10.930 10.930 5.095
angles: 90.00 90.00 153.04
Fractional positions:
Ho 0.057 0.943 0.750
Ho 0.250 0.750 0.750
Ho 0.441 0.559 0.750
Ho 0.559 0.441 0.250
Ho 0.750 0.250 0.250
Ho 0.943 0.057 0.250
Tl 0.345 0.655 0.250
Tl 0.655 0.345 0.750
Cd 0.153 0.847 0.250
Cd 0.847 0.153 0.750

## Properties
excess energy over the best structure of this formula in the dataset: 0.000 eV per atom
calculated formation energy: -0.2549 eV/atom

# 5
VASP calculation (PBE-GGA) on crystalline UBeFe at its relaxed geometry.

abc: 2.705 3.278 8.707
angles: 90.00 96.77 90.00
Fractional positions:
U 0.055 0.250 0.124
U 0.945 0.750 0.876
Be 0.055 0.750 0.569
Be 0.945 0.250 0.431
Fe 0.419 0.750 0.335
Fe 0.581 0.250 0.665

## Properties
excess energy over the best structure of this formula in the dataset: 0.000 eV per atom
calculated formation energy: -0.0638 eV/atom

# 6
VASP calculation (PBE-GGA) on crystalline BaAuF3 at its relaxed geometry.

abc: 4.660 4.660 4.660
angles: 90.00 90.00 90.00
Fractional positions:
Ba 0.000 0.000 0.000
Au 0.500 0.500 0.500
F 0.000 0.500 0.500
F 0.500 0.000 0.500
F 0.500 0.500 0.000

## Properties
excess energy over the best structure of this formula in the dataset: 0.000 eV per atom

# 7
VASP calculation (PBE-GGA) on crystalline MnSbP2 at its relaxed geometry.

abc: 5.694 5.694 5.694
angles: 138.23 127.32 69.38
Fractional positions:
Mn 0.000 0.000 0.000
Sb 0.500 0.500 0.000
P 0.126 0.626 0.500
P 0.874 0.374 0.500

## Properties
uncorrected energy: -5.7313 eV/atom

# 8
VASP calculation (PBE-GGA) on crystalline Be2ZnRhO at its relaxed geometry.

abc: 4.355 4.355 3.868
angles: 90.00 90.00 90.00
Fractional positions:
Be 0.000 0.500 0.000
Be 0.500 0.000 0.000
Zn 0.000 0.000 0.500
Rh 0.500 0.500 0.000
O 0.500 0.500 0.500

## Properties
uncorrected energy: -3.8604 eV/atom

In order of appearance, total magnetic moment = 0.00 0.33 4.88 0.91 0.00 0.00 3.56 0.95 μB per cell.
In order of appearance, calculated volume = 57 166 646 276 77 101 96 73 Å³ per cell.